Record 1
PBE-GGA TbDyTlHg, optimized geometry; DFT total energy = -3.390 eV per atom; calculated formation energy = -160 kJ/mol of formula units; DOS(E_F) = 4.85 states/eV/cell
1.0
-0.0307 3.0046 2.2733
-3.7302 0.2954 -0.4409
-1.0595 -4.5081 5.9441
Dy Hg Tl Tb
1 1 1 1
Cartesian
-2.5139 -1.0451 4.4699 Dy
-0.3806 -1.6195 2.1354 Hg
-0.9064 -3.8566 5.0851 Tl
-2.0027 1.1299 1.6020 Tb

Record 2
PBE-GGA CaGdDy, optimized geometry; DFT total energy = -6.828 eV per atom; calculated formation energy = 19 kJ/mol of formula units; distance to the lowest polymorph of the same formula = 4 meV/atom; DOS(E_F) = 4.80 states/eV/cell
1.0
3.6379 0.0000 0.0000
-1.8189 3.1505 0.0000
0.0000 0.0000 9.0836
Dy Gd Ca
1 1 1
Cartesian
0.0000 2.1003 5.9379 Dy
1.8189 1.0502 3.1668 Gd
0.0000 0.0000 9.0626 Ca

Record 3
PBE-GGA Tb2BiOsO8, optimized geometry; DFT total energy = -7.403 eV per atom; ΔE_f (raw) = -2.07 eV per atom; DOS(E_F) = 3.45 states/eV/cell
1.0
5.0639 -0.0316 -0.0030
-0.0052 5.0625 -0.0055
0.0041 0.0076 6.8681
O Bi Tb Os
8 1 2 1
Cartesian
1.5801 1.5727 3.4310 O
4.1477 0.9006 5.4323 O
0.9151 4.1380 1.4274 O
1.3429 1.3343 -0.0016 O
4.1445 0.8954 1.4289 O
3.7198 3.7042 6.8613 O
0.9182 4.1431 5.4307 O
3.4826 3.4658 3.4287 O
0.0021 0.0038 3.4340 Bi
2.5320 2.5208 5.1498 Tb
2.5308 2.5178 1.7099 Tb
0.0000 0.0000 0.0000 Os

Record 4
PBE-GGA Nd2YMgO, optimized geometry; DFT total energy = -5.698 eV per atom; ΔE_f (raw) = -1.19 eV per atom; DOS(E_F) = 3.87 states/eV/cell
1.0
-2.1662 -0.3094 4.2246
-4.3896 -1.0179 -2.3254
1.0551 -4.9566 0.1780
O Mg Nd Y
1 1 2 1
Cartesian
0.0000 0.0000 0.0000 O
-2.7504 -3.1419 1.0386 Mg
-2.1948 -0.5089 -1.1627 Nd
0.5275 -2.4783 0.0890 Nd
-1.0831 -0.1547 2.1123 Y

Number 1: total magnetic moment 0.13 μB/f.u.. Number 2: total magnetic moment 7.60 μB/f.u.. Number 3: total magnetic moment 0.54 μB/f.u.. Number 4: total magnetic moment 0.00 μB/f.u..